# 1
This record from Alexandria via LeMat-Bulk describes a geometry-optimized BaSr2Pb structure. The functional is PBE.

Summary:
* crystal system: trigonal
* DFT total energy: -2.420 eV per atom
* magnetic moment: 0.000 μB per formula unit

Lattice parameters (Å, degrees): 12.5573 12.5573 12.5573 19.57 19.57 19.57
With the nearest neighbours (Å) after each atom.
Fractional coordinates of all 4 atoms:
Ba 0.0000 0.0000 0.0000  6 Ba 4.27, 6 Sr 4.48
Sr 0.2322 0.2322 0.2322  3 Pb 3.45
Sr 0.7678 0.7678 0.7678  3 Pb 3.45
Pb 0.5000 0.5000 0.5000  6 Sr 3.45

---

# 2
This record from Alexandria via LeMat-Bulk describes a geometry-optimized Ba5VN4Cl2 structure. The functional is PBE.

Summary:
* crystal system: orthorhombic
* ΔE_f (raw): -1.074 eV per atom
* magnetic moment: 0.000 μB per formula unit

Lattice parameters (Å, degrees): 8.6852 6.0793 6.0793 114.26 90.00 90.00
With the nearest neighbours (Å) after each atom.
Fractional coordinates of all 12 atoms:
Ba 0.0000 0.0000 0.0000  2 N 2.89, 4 Cl 3.06-3.09
Ba 0.3034 0.2398 0.6037  3 N 2.64-2.85
Ba 0.3034 0.6037 0.2398  3 N 2.64-2.85
Ba 0.6966 0.2398 0.6037  3 N 2.64-2.85
Ba 0.6966 0.6037 0.2398  3 N 2.64-2.85
V 0.5000 0.9323 0.9323  4 N 1.87-1.88
N 0.3242 0.0959 0.0959  1 V 1.87
N 0.5000 0.6146 0.9123  1 V 1.88
N 0.5000 0.9123 0.6146  1 V 1.88
N 0.6758 0.0959 0.0959  1 V 1.87
Cl 0.0000 0.4692 0.9187  6 Ba 3.06-3.22, 2 Cl 3.34
Cl 0.0000 0.9187 0.4692  6 Ba 3.06-3.22, 2 Cl 3.34

---

# 3
This record from Alexandria via LeMat-Bulk describes a geometry-optimized BaIn4Ag4 structure. The functional is PBE.

Summary:
* energy relative to the lowest polymorph listed for this composition: 0 meV/atom
* crystal system: tetragonal
* magnetic moment: 0.000 μB per formula unit

Lattice parameters (Å, degrees): 6.8767 6.8767 9.6677 90.00 90.00 90.00
With the nearest neighbours (Å) after each atom.
Fractional coordinates of all 18 atoms:
Ba 0.2500 0.7500 0.2500  4 Ag 3.67, 8 In 3.94
Ba 0.7500 0.2500 0.7500  4 Ag 3.67, 8 In 3.94
In 0.0176 0.2500 0.1392  5 Ag 2.83-2.91
In 0.2500 0.0176 0.6392  5 Ag 2.83-2.91
In 0.2500 0.4824 0.6392  5 Ag 2.83-2.91
In 0.4824 0.2500 0.1392  5 Ag 2.83-2.91
In 0.5176 0.7500 0.8608  5 Ag 2.83-2.91
In 0.7500 0.5176 0.3608  5 Ag 2.83-2.91
In 0.7500 0.9824 0.3608  5 Ag 2.83-2.91
In 0.9824 0.7500 0.8608  5 Ag 2.83-2.91
Ag 0.0457 0.2500 0.4334  1 Ag 2.81, 5 In 2.83-2.91
Ag 0.2500 0.0457 0.9334  1 Ag 2.81, 5 In 2.83-2.91
Ag 0.2500 0.4543 0.9334  1 Ag 2.81, 5 In 2.83-2.91
Ag 0.4543 0.2500 0.4334  1 Ag 2.81, 5 In 2.83-2.91
Ag 0.5457 0.7500 0.5666  1 Ag 2.81, 5 In 2.83-2.91
Ag 0.7500 0.5457 0.0666  1 Ag 2.81, 5 In 2.83-2.91
Ag 0.7500 0.9543 0.0666  1 Ag 2.81, 5 In 2.83-2.91
Ag 0.9543 0.7500 0.5666  1 Ag 2.81, 5 In 2.83-2.91

---

# 4
This record from Alexandria via LeMat-Bulk describes a geometry-optimized Sm12ErTh7 structure. The functional is PBE.

Summary:
* crystal system: cubic
* DFT total energy: -4.751 eV per atom
* magnetic moment: 1.080 μB per formula unit

Lattice parameters (Å, degrees): 10.0112 10.0112 10.0112 109.47 109.47 109.47
With the nearest neighbours (Å) after each atom.
Fractional coordinates of all 20 atoms:
Sm 0.0699 0.7719 0.2980  2 Th 2.95
Sm 0.2281 0.2980 0.5260  2 Th 2.95
Sm 0.2281 0.7020 0.9301  2 Th 2.95
Sm 0.2980 0.0699 0.7719  2 Th 2.95
Sm 0.2980 0.5260 0.2281  2 Th 2.95
Sm 0.4740 0.7719 0.7020  2 Th 2.95
Sm 0.5260 0.2281 0.2980  2 Th 2.95
Sm 0.7020 0.4740 0.7719  2 Th 2.95
Sm 0.7020 0.9301 0.2281  2 Th 2.95
Sm 0.7719 0.2980 0.0699  2 Th 2.95
Sm 0.7719 0.7020 0.4740  2 Th 2.95
Sm 0.9301 0.2281 0.7020  2 Th 2.95
Er 0.0000 0.0000 0.0000  12 Sm 4.34
Th 0.0000 0.0000 0.5000  6 Sm 2.95
Th 0.0000 0.5000 0.0000  6 Sm 2.95
Th 0.0000 0.5000 0.5000  8 Sm 3.52-3.92
Th 0.5000 0.0000 0.0000  6 Sm 2.95
Th 0.5000 0.0000 0.5000  8 Sm 3.52-3.92
Th 0.5000 0.5000 0.0000  8 Sm 3.52-3.92
Th 0.5000 0.5000 0.5000  6 Sm 2.95

---

# 5
This record from Alexandria via LeMat-Bulk describes a geometry-optimized PmSm3Ni8 structure. The functional is PBE.

Summary:
* crystal system: trigonal
* DFT total energy: -5.787 eV per atom
* magnetic moment: 0.000 μB per formula unit

Lattice parameters (Å, degrees): 8.9103 8.9103 8.9103 33.47 33.47 33.47
With the nearest neighbours (Å) after each atom.
Fractional coordinates of all 12 atoms:
Pm 0.0000 0.0000 0.0000  12 Ni 3.01-3.02, 4 Sm 3.15
Sm 0.3752 0.3752 0.3752  12 Ni 3.01-3.02, 3 Pm 3.15, 1 Sm 3.15
Sm 0.5000 0.5000 0.5000  12 Ni 3.01, 4 Sm 3.14-3.15
Sm 0.8751 0.8751 0.8751  12 Ni 3.01, 3 Sm 3.14, 1 Pm 3.15
Ni 0.1876 0.1876 0.1876  6 Ni 2.57
Ni 0.4374 0.4374 0.9373  6 Ni 2.57-2.58
Ni 0.4374 0.9373 0.4374  6 Ni 2.57-2.58
Ni 0.4381 0.9375 0.9375  6 Ni 2.56-2.57
Ni 0.6876 0.6876 0.6876  6 Ni 2.57-2.58
Ni 0.9373 0.4374 0.4374  6 Ni 2.57-2.58
Ni 0.9375 0.4381 0.9375  6 Ni 2.56-2.57
Ni 0.9375 0.9375 0.4381  6 Ni 2.56-2.57

---

# 6
This record from Alexandria via LeMat-Bulk describes a geometry-optimized Zr2Mn2Cr structure. The functional is PBE.

Summary:
* crystal system: tetragonal
* DFT total energy: -8.943 eV per atom
* magnetic moment: 0.499 μB per formula unit

Lattice parameters (Å, degrees): 6.0813 6.0813 4.3679 90.00 90.00 90.00
With the nearest neighbours (Å) after each atom.
Fractional coordinates of all 10 atoms:
Zr 0.1812 0.3188 0.0000  6 Mn 2.71-2.91
Zr 0.3188 0.8188 0.0000  6 Mn 2.71-2.91
Zr 0.6812 0.1812 0.0000  6 Mn 2.71-2.91
Zr 0.8188 0.6812 0.0000  6 Mn 2.71-2.91
Mn 0.1324 0.6324 0.5000  1 Mn 2.28, 2 Cr 2.38
Mn 0.3676 0.1324 0.5000  1 Mn 2.28, 2 Cr 2.38
Mn 0.6324 0.8676 0.5000  1 Mn 2.28, 2 Cr 2.38
Mn 0.8676 0.3676 0.5000  1 Mn 2.28, 2 Cr 2.38
Cr 0.0000 0.0000 0.5000  4 Mn 2.38
Cr 0.5000 0.5000 0.5000  4 Mn 2.38

---

# 7
This record from Alexandria via LeMat-Bulk describes a geometry-optimized Tb6Dy3Er2Th structure. The functional is PBE.

Summary:
* crystal system: monoclinic
* DFT total energy: -4.821 eV per atom
* magnetic moment: 0.000 μB per formula unit

Lattice parameters (Å, degrees): 6.1457 6.1457 11.7853 94.99 94.99 119.96
With the nearest neighbours (Å) after each atom.
Fractional coordinates of all 12 atoms:
Tb 0.0833 0.4138 0.7491  6 Tb 3.52-3.57, 1 Th 3.53, 2 Er 3.55, 3 Dy 3.55-3.57
Tb 0.2471 0.2471 0.2511  6 Tb 3.52-3.57, 1 Th 3.53, 2 Er 3.55, 3 Dy 3.56-3.57
Tb 0.4138 0.0833 0.7491  6 Tb 3.52-3.57, 1 Th 3.53, 2 Er 3.55, 3 Dy 3.55-3.57
Tb 0.5862 0.9167 0.2509  6 Tb 3.52-3.57, 1 Th 3.53, 2 Er 3.55, 3 Dy 3.55-3.57
Tb 0.7529 0.7529 0.7489  6 Tb 3.52-3.57, 1 Th 3.53, 2 Er 3.55, 3 Dy 3.56-3.57
Tb 0.9167 0.5862 0.2509  6 Tb 3.52-3.57, 1 Th 3.53, 2 Er 3.55, 3 Dy 3.55-3.57
Dy 0.1672 0.8328 0.0000  6 Dy 3.54-3.56, 6 Tb 3.56-3.57
Dy 0.5000 0.5000 0.0000  6 Dy 3.54-3.55, 6 Tb 3.55-3.57
Dy 0.8328 0.1672 0.0000  6 Dy 3.54-3.56, 6 Tb 3.56-3.57
Er 0.3332 0.6668 0.5000  3 Th 3.55, 6 Tb 3.55, 3 Er 3.55
Er 0.6668 0.3332 0.5000  3 Th 3.55, 6 Tb 3.55, 3 Er 3.55
Th 0.0000 0.0000 0.5000  6 Tb 3.53, 6 Er 3.55

---

# 8
This record from Alexandria via LeMat-Bulk describes a geometry-optimized HgSb2Se structure. The functional is PBE.

Summary:
* energy relative to the lowest polymorph listed for this composition: 64 meV/atom
* crystal system: monoclinic
* ΔE_f (raw): 0.061 eV per atom
* magnetic moment: 0.000 μB per formula unit

Lattice parameters (Å, degrees): 4.7453 3.7248 5.9846 90.00 90.38 90.00
With the nearest neighbours (Å) after each atom.
Fractional coordinates of all 4 atoms:
Hg 0.0000 0.0000 0.0000  6 Sb 2.99-3.02
Sb 0.0000 0.0000 0.5000  2 Hg 2.99, 4 Se 3.02
Sb 0.5000 0.5000 0.0000  2 Se 2.99, 4 Hg 3.02
Se 0.5000 0.5000 0.5000  6 Sb 2.99-3.02

---

# 9
This record from Alexandria via LeMat-Bulk describes a geometry-optimized Sr2LiCa6 structure. The functional is PBE.

Summary:
* energy relative to the lowest polymorph listed for this composition: 0 meV/atom
* crystal system: hexagonal
* magnetic moment: 0.000 μB per formula unit

Lattice parameters (Å, degrees): 3.9536 3.9536 28.6345 90.00 90.00 120.00
With the nearest neighbours (Å) after each atom.
Fractional coordinates of all 9 atoms:
Sr 0.0000 0.0000 0.1797  6 Sr 3.95, 6 Ca 4.04-4.09
Sr 0.0000 0.0000 0.8203  6 Sr 3.95, 6 Ca 4.04-4.09
Li 0.6667 0.3333 0.5000  6 Ca 3.46
Ca 0.0000 0.0000 0.4091  3 Li 3.46
Ca 0.0000 0.0000 0.5909  3 Li 3.46
Ca 0.6667 0.3333 0.0633  7 Ca 3.63-3.95, 3 Sr 4.04
Ca 0.6667 0.3333 0.2982  9 Ca 3.91-3.95, 3 Sr 4.09
Ca 0.6667 0.3333 0.7018  9 Ca 3.91-3.95, 3 Sr 4.09
Ca 0.6667 0.3333 0.9367  7 Ca 3.63-3.95, 3 Sr 4.04

---

# 10
This record from Alexandria via LeMat-Bulk describes a geometry-optimized Ca2PaRuO8 structure. The functional is PBE.

Summary:
* crystal system: orthorhombic
* ΔE_f (raw): -2.303 eV per atom
* magnetic moment: 0.477 μB per formula unit

Lattice parameters (Å, degrees): 5.0918 5.0918 6.7241 90.00 90.00 91.68
With the nearest neighbours (Å) after each atom.
Fractional coordinates of all 12 atoms:
Ca 0.0000 0.0000 0.2453  6 O 2.29-2.38
Ca 0.0000 0.0000 0.7547  6 O 2.29-2.38
Pa 0.5000 0.5000 0.5000  2 O 2.03
Ru 0.5000 0.5000 0.0000  6 O 1.83-1.97
O 0.2140 0.2140 0.5000  1 Pa 2.03
O 0.2423 0.2423 0.0000  1 Ru 1.83
O 0.3227 0.6773 0.2211  1 Ru 1.97
O 0.3227 0.6773 0.7789  1 Ru 1.97
O 0.6773 0.3227 0.2211  1 Ru 1.97
O 0.6773 0.3227 0.7789  1 Ru 1.97
O 0.7577 0.7577 0.0000  1 Ru 1.83
O 0.7860 0.7860 0.5000  1 Pa 2.03

---

# 11
This record from Alexandria via LeMat-Bulk describes a geometry-optimized Li3Np3AsN8 structure. The functional is PBE.

Summary:
* crystal system: trigonal
* ΔE_f (raw): -0.534 eV per atom
* magnetic moment: 3.001 μB per formula unit

Lattice parameters (Å, degrees): 6.3329 6.3329 6.3329 64.48 64.48 64.48
With the nearest neighbours (Å) after each atom.
Fractional coordinates of all 15 atoms:
Li 0.0000 0.5000 0.5000  6 N 2.40-2.50
Li 0.5000 0.0000 0.5000  6 N 2.40-2.50
Li 0.5000 0.5000 0.0000  6 N 2.40-2.50
Np 0.0000 0.0000 0.5000  6 N 2.15-2.24
Np 0.0000 0.5000 0.0000  6 N 2.15-2.24
Np 0.5000 0.0000 0.0000  6 N 2.15-2.24
As 0.5000 0.5000 0.5000  6 N 2.25
N 0.2200 0.7386 0.7386  2 Np 2.15, 1 As 2.25
N 0.2397 0.2397 0.2397  3 Np 2.24, 3 Li 2.40
N 0.2614 0.2614 0.7800  2 Np 2.15, 1 As 2.25
N 0.2614 0.7800 0.2614  2 Np 2.15, 1 As 2.25
N 0.7386 0.2200 0.7386  2 Np 2.15, 1 As 2.25
N 0.7386 0.7386 0.2200  2 Np 2.15, 1 As 2.25
N 0.7603 0.7603 0.7603  3 Np 2.24, 3 Li 2.40
N 0.7800 0.2614 0.2614  2 Np 2.15, 1 As 2.25

---

# 12
This record from Alexandria via LeMat-Bulk describes a geometry-optimized Dy2Ho3Te6 structure. The functional is PBE.

Summary:
* crystal system: monoclinic
* ΔE_f (raw): -1.378 eV per atom
* magnetic moment: 0.000 μB per formula unit

Lattice parameters (Å, degrees): 7.4669 7.4669 7.4683 99.70 99.70 119.71
With the nearest neighbours (Å) after each atom.
Fractional coordinates of all 11 atoms:
Dy 0.1639 0.8361 0.0000  6 Te 3.04-3.08
Dy 0.8361 0.1639 0.0000  6 Te 3.04-3.08
Ho 0.0000 0.0000 0.5000  6 Te 3.05-3.14
Ho 0.3295 0.6705 0.5000  6 Te 3.05-3.11
Ho 0.6705 0.3295 0.5000  6 Te 3.05-3.11
Te 0.0972 0.4198 0.7565  3 Ho 3.05-3.11, 2 Dy 3.07-3.08
Te 0.2600 0.2600 0.2469  2 Dy 3.04, 3 Ho 3.06-3.14
Te 0.4198 0.0972 0.7565  3 Ho 3.05-3.11, 2 Dy 3.07-3.08
Te 0.5802 0.9028 0.2435  3 Ho 3.05-3.11, 2 Dy 3.07-3.08
Te 0.7400 0.7400 0.7531  2 Dy 3.04, 3 Ho 3.06-3.14
Te 0.9028 0.5802 0.2435  3 Ho 3.05-3.11, 2 Dy 3.07-3.08

---

# 13
This record from Alexandria via LeMat-Bulk describes a geometry-optimized Th4B2Br5 structure. The functional is PBE.

Summary:
* crystal system: orthorhombic
* ΔE_f (raw): -1.085 eV per atom
* magnetic moment: 0.000 μB per formula unit

Lattice parameters (Å, degrees): 10.3721 10.3721 10.3721 159.01 131.09 53.79
With the nearest neighbours (Å) after each atom.
Fractional coordinates of all 11 atoms:
Th 0.1731 0.1731 0.0000  1 B 2.38
Th 0.1984 0.5000 0.6984  4 B 2.67
Th 0.8016 0.5000 0.3016  4 B 2.67
Th 0.8269 0.8269 0.0000  1 B 2.38
B 0.0446 0.0446 0.0000  1 B 1.65
B 0.9554 0.9554 0.0000  1 B 1.65
Br 0.1164 0.3351 0.7813  3 Th 3.07-3.13
Br 0.4462 0.6649 0.7813  3 Th 3.07-3.13
Br 0.5000 0.0000 0.5000  4 Th 3.21
Br 0.5538 0.3351 0.2187  3 Th 3.07-3.13
Br 0.8836 0.6649 0.2187  3 Th 3.07-3.13